1.
VASP calculation (PBE) on a geometry-optimized RbCuTe2N structure.

Calculated values
- total magnetization (μB per atom) = 0.045
- formation energy from raw total energies (eV per atom) = 0.409
- space group = P4/mmm
- density (g/cm3) = 5.2
- relative energy among the computed polymorphs (eV per atom) = 0.000
- calculated total energy (eV per atom) = -3.53

POSCAR file:
```
RbCuTe2N
1.0
6.2384 0.0000 0.0000
0.0000 6.2384 0.0000
0.0000 0.0000 3.4551
Rb Cu Te N
1 1 2 1
direct
0.0000 0.0000 0.0000 Rb
0.5000 0.5000 0.5000 Cu
0.0000 0.5000 0.5000 Te
0.5000 0.0000 0.5000 Te
0.5000 0.5000 0.0000 N
```

2.
VASP calculation (PBE) on a geometry-optimized PW2 structure.

Calculated values
- total magnetization (μB per atom) = 0.000
- space group = P6_3/mmc
- ΔE_f (meV/atom) = 873
- density (g/cm3) = 11.9
- calculated total energy (eV per atom) = -9.57

POSCAR file:
```
PW2
1.0
5.1531 0.0000 0.0000
-2.5765 4.4627 0.0000
0.0000 0.0000 9.7058
P W
4 8
direct
0.3333 0.6667 0.0379 P
0.3333 0.6667 0.4621 P
0.6667 0.3333 0.5379 P
0.6667 0.3333 0.9621 P
0.0000 0.0000 0.0000 W
0.0000 0.0000 0.5000 W
0.1645 0.3290 0.2500 W
0.1645 0.8355 0.2500 W
0.3290 0.1645 0.7500 W
0.6710 0.8355 0.2500 W
0.8355 0.1645 0.7500 W
0.8355 0.6710 0.7500 W
```

3.
VASP calculation (PBE) on a geometry-optimized Ac2NpMoN6 structure.

Calculated values
- total magnetization (μB per atom) = 0.098
- formation energy from raw total energies (eV per atom) = -0.971
- space group = Pmmn
- density (g/cm3) = 9.7
- calculated total energy (eV per atom) = -9.16

POSCAR file:
```
Ac2NpMoN6
1.0
5.9635 0.0000 0.0000
0.0000 8.2334 0.0000
0.0000 0.0000 6.0521
Ac Np Mo N
4 2 2 12
direct
0.2500 0.0010 0.2202 Ac
0.2500 0.4990 0.2202 Ac
0.7500 0.5010 0.7798 Ac
0.7500 0.9990 0.7798 Ac
0.2500 0.2500 0.7497 Np
0.7500 0.7500 0.2503 Np
0.2500 0.7500 0.7124 Mo
0.7500 0.2500 0.2876 Mo
0.0007 0.7500 0.5161 N
0.0022 0.2500 0.9835 N
0.2500 0.5154 0.7772 N
0.2500 0.9846 0.7772 N
0.4978 0.2500 0.9835 N
0.4993 0.7500 0.5161 N
0.5007 0.2500 0.4839 N
0.5022 0.7500 0.0165 N
0.7500 0.0154 0.2228 N
0.7500 0.4846 0.2228 N
0.9978 0.7500 0.0165 N
0.9993 0.2500 0.4839 N
```

4.
VASP calculation (PBE) on a geometry-optimized CaEr2Sc structure.

Calculated values
- total magnetization (μB per atom) = 0.000
- space group = Fm-3m
- ΔE_f (meV/atom) = 192
- density (g/cm3) = 5.7
- relative energy among the computed polymorphs (eV per atom) = 0.116
- calculated total energy (eV per atom) = -4.17

POSCAR file:
```
CaEr2Sc
1.0
0.0000 3.9442 3.9442
3.9442 0.0000 3.9442
3.9442 3.9442 0.0000
Ca Er Sc
1 2 1
direct
0.0000 0.0000 0.0000 Ca
0.2500 0.2500 0.2500 Er
0.7500 0.7500 0.7500 Er
0.5000 0.5000 0.5000 Sc
```

5.
VASP calculation (PBE) on a geometry-optimized Sr2Tl3BiPd4 structure.

Calculated values
- total magnetization (μB per atom) = 0.000
- space group = P-4m2
- ΔE_f (meV/atom) = -433
- density (g/cm3) = 9.2
- calculated total energy (eV per atom) = -3.94

POSCAR file:
```
Sr2Tl3BiPd4
1.0
4.9160 0.0000 0.0000
0.0000 4.9160 0.0000
0.0000 0.0000 10.6183
Sr Tl Bi Pd
2 3 1 4
direct
0.0000 0.5000 0.2334 Sr
0.5000 0.0000 0.7666 Sr
0.0000 0.5000 0.8813 Tl
0.5000 0.0000 0.1187 Tl
0.5000 0.5000 0.5000 Tl
0.0000 0.0000 0.5000 Bi
0.0000 0.0000 0.0000 Pd
0.0000 0.5000 0.6274 Pd
0.5000 0.0000 0.3726 Pd
0.5000 0.5000 0.0000 Pd
```

6.
VASP calculation (PBE) on a geometry-optimized TmNbGa2 structure.

Calculated values
- total magnetization (μB per atom) = 0.000
- space group = R-3m
- ΔE_f (meV/atom) = -143
- density (g/cm3) = 8.3
- relative energy among the computed polymorphs (eV per atom) = 0.203
- calculated total energy (eV per atom) = -5.29

POSCAR file:
```
TmNbGa2
1.0
1.6137 0.9317 8.9333
-1.6137 0.9317 8.9333
0.0000 -1.8634 8.9333
Tm Nb Ga
1 1 2
direct
0.0000 0.0000 0.0000 Tm
0.5000 0.5000 0.5000 Nb
0.2448 0.2448 0.2448 Ga
0.7552 0.7552 0.7552 Ga
```

7.
VASP calculation (PBE) on a geometry-optimized MgNpGePd structure.

Calculated values
- total magnetization (μB per atom) = 0.957
- space group = F-43m
- ΔE_f (meV/atom) = -257
- density (g/cm3) = 9.2
- calculated total energy (eV per atom) = -6.34

POSCAR file:
```
MgNpGePd
1.0
0.0000 3.4102 3.4102
3.4102 0.0000 3.4102
3.4102 3.4102 0.0000
Mg Np Ge Pd
1 1 1 1
direct
0.0000 0.0000 0.0000 Mg
0.5000 0.5000 0.5000 Np
0.7500 0.7500 0.7500 Ge
0.2500 0.2500 0.2500 Pd
```

8.
VASP calculation (PBE) on a geometry-optimized Cs2PPtAu structure.

Calculated values
- total magnetization (μB per atom) = 0.000
- space group = P4/mmm
- ΔE_f (meV/atom) = -279
- density (g/cm3) = 5.4
- relative energy among the computed polymorphs (eV per atom) = 0.000
- calculated total energy (eV per atom) = -3.57

POSCAR file:
```
Cs2PPtAu
1.0
6.9361 0.0000 0.0000
0.0000 6.9361 0.0000
0.0000 0.0000 4.3712
Cs P Pt Au
2 1 1 1
direct
0.0000 0.5000 0.0000 Cs
0.5000 0.0000 0.0000 Cs
0.0000 0.0000 0.5000 P
0.0000 0.0000 0.0000 Pt
0.5000 0.5000 0.5000 Au
```

9.
VASP calculation (PBE) on a geometry-optimized YScGa6 structure.

Calculated values
- total magnetization (μB per atom) = 0.000
- space group = P4/mmm
- ΔE_f (meV/atom) = -518
- density (g/cm3) = 6.2
- relative energy among the computed polymorphs (eV per atom) = 0.000
- calculated total energy (eV per atom) = -4.39

POSCAR file:
```
YScGa6
1.0
4.2021 0.0000 0.0000
0.0000 4.2021 0.0000
0.0000 0.0000 8.3909
Y Sc Ga
1 1 6
direct
0.0000 0.0000 0.0000 Y
0.0000 0.0000 0.5000 Sc
0.0000 0.5000 0.2594 Ga
0.0000 0.5000 0.7406 Ga
0.5000 0.0000 0.2594 Ga
0.5000 0.0000 0.7406 Ga
0.5000 0.5000 0.0000 Ga
0.5000 0.5000 0.5000 Ga
```

10.
VASP calculation (PBE) on a geometry-optimized Cr2MoW structure.

Calculated values
- total magnetization (μB per atom) = 0.004
- space group = Pmmm
- ΔE_f (meV/atom) = 94
- density (g/cm3) = 11.3
- calculated total energy (eV per atom) = -10.66

POSCAR file:
```
Cr2MoW
1.0
3.0625 0.0000 0.0000
0.0000 4.2339 0.0000
0.0000 0.0000 4.3473
Cr Mo W
2 1 1
direct
0.0000 0.0000 0.0000 Cr
0.5000 0.0000 0.5000 Cr
0.0000 0.5000 0.5000 Mo
0.5000 0.5000 0.0000 W
```

11.
VASP calculation (PBE) on a geometry-optimized Pu4Zn3Pd5 structure.

Calculated values
- total magnetization (μB per atom) = 1.862
- space group = C2/m
- ΔE_f (meV/atom) = -265
- density (g/cm3) = 11.7
- calculated total energy (eV per atom) = -7.52

POSCAR file:
```
Pu4Zn3Pd5
1.0
6.7113 -2.5996 0.0000
6.7113 2.5996 0.0000
-3.2822 0.0000 6.9298
Pu Zn Pd
4 3 5
direct
0.1630 0.1630 0.3884 Pu
0.3029 0.3029 0.1662 Pu
0.6971 0.6971 0.8338 Pu
0.8370 0.8370 0.6116 Pu
0.0732 0.0732 0.7076 Zn
0.5000 0.5000 0.0000 Zn
0.9268 0.9268 0.2924 Zn
0.0000 0.0000 0.0000 Pd
0.2934 0.2934 0.7909 Pd
0.4470 0.4470 0.6151 Pd
0.5530 0.5530 0.3849 Pd
0.7066 0.7066 0.2091 Pd
```

12.
VASP calculation (PBE) on a geometry-optimized TmFeSi2Ni structure.

Calculated values
- total magnetization (μB per atom) = 0.000
- formation energy from raw total energies (eV per atom) = -0.764
- space group = I-4m2
- density (g/cm3) = 7.7
- calculated total energy (eV per atom) = -6.68

POSCAR file:
```
TmFeSi2Ni
1.0
-1.9323 1.9323 4.8757
1.9323 -1.9323 4.8757
1.9323 1.9323 -4.8757
Tm Fe Si Ni
1 1 2 1
direct
0.0000 0.0000 0.0000 Tm
0.7500 0.2500 0.5000 Fe
0.3745 0.3745 0.0000 Si
0.6255 0.6255 0.0000 Si
0.2500 0.7500 0.5000 Ni
```

13.
VASP calculation (PBE) on a geometry-optimized Al2WAu structure.

Calculated values
- total magnetization (μB per atom) = 0.162
- space group = F-43m
- ΔE_f (meV/atom) = 381
- density (g/cm3) = 11.0
- relative energy among the computed polymorphs (eV per atom) = 0.509
- calculated total energy (eV per atom) = -5.55

POSCAR file:
```
Al2WAu
1.0
0.0000 3.1977 3.1977
3.1977 0.0000 3.1977
3.1977 3.1977 0.0000
Al W Au
2 1 1
direct
0.0000 0.0000 0.0000 Al
0.2500 0.2500 0.2500 Al
0.7500 0.7500 0.7500 W
0.5000 0.5000 0.5000 Au
```

14.
VASP calculation (PBE) on a geometry-optimized HgHOsO6 structure.

Calculated values
- total magnetization (μB per atom) = 0.000
- space group = P1
- density (g/cm3) = 7.2
- calculated total energy (eV per atom) = -5.50

POSCAR file:
```
HgHOsO6
1.0
4.9065 0.0000 0.0000
0.3206 5.0142 0.0000
0.9221 2.4057 4.5961
Hg H Os O
1 1 1 6
direct
0.0000 0.0000 0.0000 Hg
0.2710 0.6004 0.8700 H
0.5271 0.3177 0.3653 Os
0.2764 0.3841 0.6441 O
0.2847 0.0816 0.3512 O
0.3012 0.6742 0.0077 O
0.6773 0.6762 0.3169 O
0.7289 0.0515 0.6013 O
0.7623 0.3711 0.0259 O
```

15.
VASP calculation (PBE) on a geometry-optimized Pb2SF2 structure.

Calculated values
- total magnetization (μB per atom) = 0.000
- formation energy from raw total energies (eV per atom) = -1.571
- space group = R-3m
- density (g/cm3) = 6.9
- relative energy among the computed polymorphs (eV per atom) = 0.018
- calculated total energy (eV per atom) = -4.63

POSCAR file:
```
Pb2SF2
1.0
2.0505 1.1839 7.9548
-2.0505 1.1839 7.9548
0.0000 -2.3677 7.9548
Pb S F
2 1 2
direct
0.0907 0.0907 0.0907 Pb
0.9093 0.9093 0.9093 Pb
0.5000 0.5000 0.5000 S
0.2781 0.2781 0.2781 F
0.7219 0.7219 0.7219 F
```

16.
VASP calculation (PBE) on a geometry-optimized Cd2SbH2 structure.

Calculated values
- total magnetization (μB per atom) = 0.000
- space group = I4/mmm
- density (g/cm3) = 6.9
- relative energy among the computed polymorphs (eV per atom) = 0.290
- calculated total energy (eV per atom) = -2.17

POSCAR file:
```
Cd2SbH2
1.0
-1.7819 1.7819 6.6112
1.7819 -1.7819 6.6112
1.7819 1.7819 -6.6112
Cd Sb H
2 1 2
direct
0.1554 0.1554 0.0000 Cd
0.8446 0.8446 0.0000 Cd
0.5000 0.5000 0.0000 Sb
0.2500 0.7500 0.5000 H
0.7500 0.2500 0.5000 H
```

17.
VASP calculation (PBE) on a geometry-optimized ScCuF3 structure.

Calculated values
- total magnetization (μB per atom) = 0.185
- formation energy from raw total energies (eV per atom) = -1.666
- space group = Pm-3m
- density (g/cm3) = 4.1
- calculated total energy (eV per atom) = -4.87

POSCAR file:
```
ScCuF3
1.0
4.0787 0.0000 0.0000
0.0000 4.0787 0.0000
0.0000 0.0000 4.0787
Sc Cu F
1 1 3
direct
0.0000 0.0000 0.0000 Sc
0.5000 0.5000 0.5000 Cu
0.0000 0.5000 0.5000 F
0.5000 0.0000 0.5000 F
0.5000 0.5000 0.0000 F
```

18.
VASP calculation (PBE) on a geometry-optimized CaBe2As structure.

Calculated values
- total magnetization (μB per atom) = 0.000
- space group = P4mm
- ΔE_f (meV/atom) = -75
- density (g/cm3) = 3.1
- calculated total energy (eV per atom) = -3.60

POSCAR file:
```
CaBe2As
1.0
3.6173 0.0000 0.0000
0.0000 3.6173 0.0000
0.0000 0.0000 5.5084
Ca Be As
1 2 1
direct
0.0000 0.0000 0.0000 Ca
0.0000 0.5000 0.5273 Be
0.5000 0.0000 0.5273 Be
0.5000 0.5000 0.2736 As
```

19.
VASP calculation (PBE) on a geometry-optimized Rb2InSe2O6 structure.

Calculated values
- total magnetization (μB per atom) = 0.000
- formation energy from raw total energies (eV per atom) = -1.144
- space group = R-3m
- density (g/cm3) = 3.4
- calculated total energy (eV per atom) = -4.91

POSCAR file:
```
Rb2InSe2O6
1.0
3.0620 1.7679 8.0654
-3.0620 1.7679 8.0654
0.0000 -3.5357 8.0654
Rb In Se O
2 1 2 6
direct
0.2253 0.2253 0.2253 Rb
0.7747 0.7747 0.7747 Rb
0.5000 0.5000 0.5000 In
0.0789 0.0789 0.0789 Se
0.9211 0.9211 0.9211 Se
0.1923 0.7420 0.7420 O
0.2580 0.2580 0.8077 O
0.2580 0.8077 0.2580 O
0.7420 0.1923 0.7420 O
0.7420 0.7420 0.1923 O
0.8077 0.2580 0.2580 O
```

20.
VASP calculation (PBE) on a geometry-optimized Tb3Al structure.

Calculated values
- total magnetization (μB per atom) = 0.000
- space group = P6_3/mmc
- ΔE_f (meV/atom) = -199
- density (g/cm3) = 7.7
- calculated total energy (eV per atom) = -4.61

POSCAR file:
```
Tb3Al
1.0
6.8776 0.0000 0.0000
-3.4388 5.9562 0.0000
0.0000 0.0000 5.2930
Tb Al
6 2
direct
0.1758 0.3516 0.2500 Tb
0.1758 0.8242 0.2500 Tb
0.3516 0.1758 0.7500 Tb
0.6484 0.8242 0.2500 Tb
0.8242 0.1758 0.7500 Tb
0.8242 0.6484 0.7500 Tb
0.3333 0.6667 0.7500 Al
0.6667 0.3333 0.2500 Al
```

21.
VASP calculation (PBE) on a geometry-optimized LaNd2HoH structure.

Calculated values
- total magnetization (μB per atom) = 0.000
- space group = P4/mmm
- density (g/cm3) = 7.2
- calculated total energy (eV per atom) = -4.65

POSCAR file:
```
LaNd2HoH
1.0
5.1653 0.0000 0.0000
0.0000 5.1653 0.0000
0.0000 0.0000 5.0997
La Nd Ho H
1 2 1 1
direct
0.0000 0.0000 0.0000 La
0.0000 0.5000 0.5000 Nd
0.5000 0.0000 0.5000 Nd
0.5000 0.5000 0.0000 Ho
0.5000 0.5000 0.5000 H
```

22.
VASP calculation (PBE) on a geometry-optimized PrDyH8Rh2 structure.

Calculated values
- total magnetization (μB per atom) = 0.000
- space group = R-3
- density (g/cm3) = 6.9
- calculated total energy (eV per atom) = -4.55

POSCAR file:
```
PrDyH8Rh2
1.0
2.4612 1.4210 5.9445
-2.4612 1.4210 5.9445
0.0000 -2.8420 5.9445
Pr Dy H Rh
1 1 8 2
direct
0.0000 0.0000 0.0000 Pr
0.5000 0.5000 0.5000 Dy
0.0583 0.8709 0.3937 H
0.1291 0.6063 0.9417 H
0.3204 0.3204 0.3204 H
0.3937 0.0583 0.8709 H
0.6063 0.9417 0.1291 H
0.6796 0.6796 0.6796 H
0.8709 0.3937 0.0583 H
0.9417 0.1291 0.6063 H
0.2300 0.2300 0.2300 Rh
0.7700 0.7700 0.7700 Rh
```

23.
VASP calculation (PBE) on a geometry-optimized PrSm2S3 structure.

Calculated values
- total magnetization (μB per atom) = 0.000
- formation energy from raw total energies (eV per atom) = -1.886
- space group = C2/m
- density (g/cm3) = 6.2
- relative energy among the computed polymorphs (eV per atom) = 0.134
- calculated total energy (eV per atom) = -6.32

POSCAR file:
```
PrSm2S3
1.0
7.9704 -1.9562 0.0000
7.9704 1.9562 0.0000
-3.6310 0.0000 9.2305
Pr Sm S
2 4 6
direct
0.0000 0.0000 0.0000 Pr
0.5000 0.5000 0.5000 Pr
0.1655 0.1655 0.8305 Sm
0.3334 0.3334 0.6681 Sm
0.6666 0.6666 0.3319 Sm
0.8345 0.8345 0.1695 Sm
0.0293 0.0293 0.3046 S
0.3033 0.3033 0.3606 S
0.3569 0.3569 0.9719 S
0.6431 0.6431 0.0281 S
0.6967 0.6967 0.6394 S
0.9707 0.9707 0.6954 S
```

24.
VASP calculation (PBE) on a geometry-optimized LiCeAlFe structure.

Calculated values
- total magnetization (μB per atom) = 0.370
- space group = F-43m
- ΔE_f (meV/atom) = -88
- density (g/cm3) = 5.7
- calculated total energy (eV per atom) = -5.10

POSCAR file:
```
LiCeAlFe
1.0
0.0000 3.2228 3.2228
3.2228 0.0000 3.2228
3.2228 3.2228 0.0000
Li Ce Al Fe
1 1 1 1
direct
0.0000 0.0000 0.0000 Li
0.2500 0.2500 0.2500 Ce
0.7500 0.7500 0.7500 Al
0.5000 0.5000 0.5000 Fe
```

25.
VASP calculation (PBE) on a geometry-optimized NaCdO2F structure.

Calculated values
- total magnetization (μB per atom) = 0.285
- formation energy from raw total energies (eV per atom) = -0.865
- space group = P4/mmm
- density (g/cm3) = 3.8
- calculated total energy (eV per atom) = -3.67

POSCAR file:
```
NaCdO2F
1.0
4.2011 0.0000 0.0000
0.0000 4.2011 0.0000
0.0000 0.0000 4.5778
Na Cd O F
1 1 2 1
direct
0.0000 0.0000 0.0000 Na
0.5000 0.5000 0.5000 Cd
0.0000 0.5000 0.5000 O
0.5000 0.0000 0.5000 O
0.5000 0.5000 0.0000 F
```